# 1
First-principles (GGA-PBE) data for a relaxed structure of MnCdGe2H, as listed in Alexandria via LeMat-Bulk.

The structure in POSCAR format:
```
MnCdGe2H
1.0
4.449 0.000 0.000
0.000 4.017 0.000
0.000 0.000 4.449
Mn Cd Ge H
1 1 2 1
Direct
0.500 0.500 0.500 Mn
0.000 0.500 0.000 Cd
0.000 0.000 0.500 Ge
0.500 0.000 0.000 Ge
0.000 0.000 0.000 H
```

* V: 15.90 Å³ per atom
* SG: P4/mmm
* energy: -4.078 eV/atom

=====

# 2
First-principles (GGA-PBE) data for a relaxed structure of Cd2GeHN, as listed in Alexandria via LeMat-Bulk.

The structure in POSCAR format:
```
Cd2GeHN
1.0
-2.590 -0.140 4.365
-1.952 -1.613 -1.210
2.570 -4.153 1.391
Cd Ge H N
2 1 1 1
Direct
0.000 0.000 0.500 Cd
0.500 0.000 0.000 Cd
0.500 0.500 0.500 Ge
0.000 0.500 0.000 H
0.000 0.000 0.000 N
```

* V: 14.47 Å³ per atom
* SG: P4/mmm
* energy: -3.126 eV/atom

=====

# 3
First-principles (GGA-PBE) data for a relaxed structure of Na2CdGeH, as listed in Alexandria via LeMat-Bulk.

The structure in POSCAR format:
```
Na2CdGeH
1.0
-4.593 -0.040 -1.419
-1.419 -0.033 4.593
-0.041 4.145 0.017
Cd H Na Ge
1 1 2 1
Direct
0.500 0.500 0.500 Cd
0.000 0.000 0.000 H
0.000 0.500 0.000 Na
0.500 0.000 0.000 Na
0.000 0.000 0.500 Ge
```

* V: 19.16 Å³ per atom
* energy above the most stable polymorph in this dataset: 0.11 eV/f.u.
* SG: P4/mmm

=====

# 4
First-principles (GGA-PBE) data for a relaxed structure of Na2CdGeH, as listed in Alexandria via LeMat-Bulk.

The structure in POSCAR format:
```
Na2CdGeH
1.0
-1.880 3.939 0.728
-2.100 -0.285 -3.885
-3.652 -2.137 2.131
Na H Ge Cd
2 1 1 1
Direct
0.500 0.000 0.000 Na
0.000 0.500 0.000 Na
0.000 0.000 0.000 H
0.500 0.500 0.500 Ge
0.000 0.000 0.500 Cd
```

* V: 18.56 Å³ per atom
* energy above the most stable polymorph in this dataset: 0.00 eV/f.u.
* SG: P4/mmm

=====

# 5
First-principles (GGA-PBE) data for a relaxed structure of CdGeH2O4, as listed in Alexandria via LeMat-Bulk.

The structure in POSCAR format:
```
CdGeH2O4
1.0
-2.606 0.639 -3.498
1.062 -2.513 -4.028
-3.947 -2.822 -0.354
Cd Ge O H
1 1 4 2
Direct
0.000 0.000 0.000 Cd
0.500 0.500 0.500 Ge
0.576 0.581 0.805 O
0.424 0.195 0.419 O
0.039 0.805 0.581 O
0.961 0.419 0.195 O
0.814 0.686 0.686 H
0.186 0.314 0.314 H
```

* V: 10.36 Å³ per atom
* SG: I222
* energy: -5.158 eV/atom

=====

# 6
First-principles (GGA-PBE) data for a relaxed structure of Cd2GeHPd6, as listed in Alexandria via LeMat-Bulk.

The structure in POSCAR format:
```
Cd2GeHPd6
1.0
5.636 -0.231 -0.261
-0.315 6.699 0.300
2.434 3.462 4.211
H Cd Ge Pd
1 2 1 6
Direct
0.500 0.500 0.000 H
0.295 0.801 0.409 Cd
0.705 0.199 0.591 Cd
0.000 0.000 0.000 Ge
0.770 0.820 0.541 Pd
0.230 0.180 0.459 Pd
0.793 0.318 0.995 Pd
0.207 0.682 0.005 Pd
0.346 0.345 0.865 Pd
0.654 0.655 0.135 Pd
```

* V: 15.72 Å³ per atom
* SG: P-1
* energy: -4.391 eV/atom

=====

# 7
First-principles (GGA-PBE) data for a relaxed structure of PmCdGeH, as listed in Alexandria via LeMat-Bulk.

The structure in POSCAR format:
```
PmCdGeH
1.0
4.244 0.000 0.000
0.000 4.244 0.000
0.000 0.000 7.974
H Pm Ge Cd
2 2 2 2
Direct
0.000 0.000 0.000 H
0.500 0.500 0.000 H
0.500 0.000 0.146 Pm
0.000 0.500 0.854 Pm
0.500 0.000 0.737 Ge
0.000 0.500 0.263 Ge
0.000 0.000 0.500 Cd
0.500 0.500 0.500 Cd
```

* V: 17.95 Å³ per atom
* SG: P4/nmm
* energy: -3.926 eV/atom

=====

# 8
First-principles (GGA-PBE) data for a relaxed structure of CdGe2HRu, as listed in Alexandria via LeMat-Bulk.

The structure in POSCAR format:
```
CdGe2HRu
1.0
-1.336 -4.038 -0.801
3.076 -0.544 -2.384
2.339 -1.437 3.346
Ru H Ge Cd
1 1 2 1
Direct
0.500 0.500 0.500 Ru
0.000 0.000 0.000 H
0.500 0.000 0.000 Ge
0.000 0.000 0.500 Ge
0.000 0.500 0.000 Cd
```

* V: 14.72 Å³ per atom
* SG: P4/mmm
* energy: -4.019 eV/atom

=====

# 9
First-principles (GGA-PBE) data for a relaxed structure of CdGeHS2, as listed in Alexandria via LeMat-Bulk.

The structure in POSCAR format:
```
CdGeHS2
1.0
5.042 0.000 0.000
0.000 5.285 0.000
0.000 0.000 5.042
Cd Ge H S
1 1 1 2
Direct
0.000 0.000 0.000 Cd
0.000 0.500 0.000 Ge
0.500 0.500 0.500 H
0.500 0.000 0.000 S
0.000 0.000 0.500 S
```

* V: 26.87 Å³ per atom
* SG: P4/mmm
* energy: -2.297 eV/atom

=====

# 10
First-principles (GGA-PBE) data for a relaxed structure of CdGeSbH2, as listed in Alexandria via LeMat-Bulk.

The structure in POSCAR format:
```
CdGeSbH2
1.0
4.009 0.000 0.000
0.000 5.771 0.000
0.000 0.000 4.009
Cd H Ge Sb
1 2 1 1
Direct
0.500 0.500 0.500 Cd
0.500 0.000 0.000 H
0.000 0.000 0.500 H
0.000 0.500 0.000 Ge
0.000 0.000 0.000 Sb
```

* V: 18.55 Å³ per atom
* SG: P4/mmm
* energy: -2.923 eV/atom

=====

# 11
First-principles (GGA-PBE) data for a relaxed structure of Sc2CdGeH, as listed in Alexandria via LeMat-Bulk.

The structure in POSCAR format:
```
Sc2CdGeH
1.0
-1.724 -3.089 2.557
-1.691 -1.927 -3.469
3.627 -2.389 -0.441
Cd Sc Ge H
1 2 1 1
Direct
0.000 0.500 0.000 Cd
0.000 0.000 0.500 Sc
0.500 0.000 0.000 Sc
0.500 0.500 0.500 Ge
0.000 0.000 0.000 H
```

* V: 16.44 Å³ per atom
* SG: P4/mmm
* energy: -4.655 eV/atom

=====

# 12
First-principles (GGA-PBE) data for a relaxed structure of Cd2GeTeH, as listed in Alexandria via LeMat-Bulk.

The structure in POSCAR format:
```
Cd2GeTeH
1.0
5.394 0.000 0.000
0.000 5.394 0.000
0.000 0.000 5.521
Te Ge Cd H
1 1 2 1
Direct
0.000 0.000 0.500 Te
0.000 0.000 0.000 Ge
0.500 0.000 0.000 Cd
0.000 0.500 0.000 Cd
0.500 0.500 0.500 H
```

* V: 32.13 Å³ per atom
* SG: P4/mmm
* energy: -1.889 eV/atom

=====

# 13
First-principles (GGA-PBE) data for a relaxed structure of HfCdGe3, as listed in Alexandria via LeMat-Bulk.

The structure in POSCAR format:
```
HfCdGe3
1.0
-2.587 0.439 4.269
-0.886 -4.932 -0.030
4.199 -0.771 2.624
Ge Hf Cd
3 1 1
Direct
0.500 0.000 0.000 Ge
0.000 0.000 0.500 Ge
0.000 0.500 0.000 Ge
0.500 0.500 0.500 Hf
0.000 0.000 0.000 Cd
```

* V: 25.17 Å³ per atom
* energy of formation: 1.035 eV per atom
* energy above the most stable polymorph in this dataset: 3.02 eV/f.u.
* SG: Pm-3m

=====

# 14
First-principles (GGA-PBE) data for a relaxed structure of Hf2CdGe2, as listed in Alexandria via LeMat-Bulk.

The structure in POSCAR format:
```
Hf2CdGe2
1.0
-4.772 1.965 -6.194
-6.417 -2.635 4.108
-0.399 2.873 1.219
Cd Hf Ge
2 4 4
Direct
0.000 0.000 0.000 Cd
0.500 0.500 0.000 Cd
0.863 0.637 0.000 Hf
0.137 0.363 0.000 Hf
0.637 0.137 0.000 Hf
0.363 0.863 0.000 Hf
0.159 0.659 0.500 Ge
0.341 0.159 0.500 Ge
0.841 0.341 0.500 Ge
0.659 0.841 0.500 Ge
```

* V: 20.45 Å³ per atom
* energy of formation: -0.215 eV per atom
* energy above the most stable polymorph in this dataset: 0.60 eV/f.u.
* SG: P4/mbm

=====

# 15
First-principles (GGA-PBE) data for a relaxed structure of Hf2CdGe2, as listed in Alexandria via LeMat-Bulk.

The structure in POSCAR format:
```
Hf2CdGe2
1.0
-0.611 2.171 -6.950
-7.062 1.519 1.096
0.878 3.378 0.978
Cd Hf Ge
2 4 4
Direct
0.500 0.500 0.000 Cd
0.000 0.000 0.000 Cd
0.343 0.157 0.500 Hf
0.657 0.843 0.500 Hf
0.157 0.657 0.500 Hf
0.843 0.343 0.500 Hf
0.642 0.142 0.000 Ge
0.142 0.358 0.000 Ge
0.858 0.642 0.000 Ge
0.358 0.858 0.000 Ge
```

* V: 19.35 Å³ per atom
* energy of formation: -0.335 eV per atom
* energy above the most stable polymorph in this dataset: 0.00 eV/f.u.
* SG: P4/mbm

=====

# 16
First-principles (GGA-PBE) data for a relaxed structure of Hf2Cd2Ge, as listed in Alexandria via LeMat-Bulk.

The structure in POSCAR format:
```
Hf2Cd2Ge
1.0
6.988 0.000 0.000
0.000 6.988 0.000
0.000 0.000 4.655
Hf Cd Ge
4 4 2
Direct
0.844 0.656 0.000 Hf
0.156 0.344 0.000 Hf
0.344 0.844 0.000 Hf
0.656 0.156 0.000 Hf
0.648 0.852 0.500 Cd
0.852 0.352 0.500 Cd
0.148 0.648 0.500 Cd
0.352 0.148 0.500 Cd
0.500 0.500 0.000 Ge
0.000 0.000 0.000 Ge
```

* V: 22.73 Å³ per atom
* energy of formation: 0.005 eV per atom
* SG: P4/mbm

=====

# 17
First-principles (GGA-PBE) data for a relaxed structure of Hf2CdGe, as listed in Alexandria via LeMat-Bulk.

The structure in POSCAR format:
```
Hf2CdGe
1.0
7.604 0.000 0.000
0.000 7.604 0.000
3.802 3.802 2.973
Hf Ge Cd
4 2 2
Direct
0.875 0.854 0.750 Hf
0.146 0.625 0.250 Hf
0.604 0.125 0.250 Hf
0.375 0.396 0.750 Hf
0.500 0.500 0.000 Ge
0.250 0.750 0.500 Ge
0.000 0.000 0.000 Cd
0.750 0.250 0.500 Cd
```

* V: 21.49 Å³ per atom
* energy of formation: 0.058 eV per atom
* SG: I-42d

=====

# 18
First-principles (GGA-PBE) data for a relaxed structure of HfCd2Ge, as listed in Alexandria via LeMat-Bulk.

The structure in POSCAR format:
```
HfCd2Ge
1.0
-3.905 -1.536 6.786
0.512 -7.824 -1.477
0.696 -4.779 4.009
Hf Ge Cd
2 2 4
Direct
0.750 0.250 0.500 Hf
0.000 0.000 0.000 Hf
0.500 0.500 0.000 Ge
0.250 0.750 0.500 Ge
0.594 0.125 0.250 Cd
0.375 0.406 0.750 Cd
0.875 0.844 0.750 Cd
0.156 0.625 0.250 Cd
```

* V: 21.90 Å³ per atom
* energy of formation: 0.148 eV per atom
* SG: I-42d

=====

# 19
First-principles (GGA-PBE) data for a relaxed structure of HfCdGe3, as listed in Alexandria via LeMat-Bulk.

The structure in POSCAR format:
```
HfCdGe3
1.0
5.196 0.000 0.000
0.000 5.196 0.000
0.000 0.000 5.196
Ge Cd Hf
3 1 1
Direct
0.000 0.000 0.500 Ge
0.500 0.000 0.000 Ge
0.000 0.500 0.000 Ge
0.500 0.500 0.500 Cd
0.000 0.000 0.000 Hf
```

* V: 28.05 Å³ per atom
* energy of formation: 0.430 eV per atom
* energy above the most stable polymorph in this dataset: 0.00 eV/f.u.
* SG: Pm-3m

=====

# 20
First-principles (GGA-PBE) data for a relaxed structure of HfCdGe2, as listed in Alexandria via LeMat-Bulk.

The structure in POSCAR format:
```
HfCdGe2
1.0
-0.243 4.021 -6.215
-6.782 2.371 1.799
-2.296 5.554 -0.730
Hf Ge Cd
2 4 2
Direct
0.000 0.000 0.000 Hf
0.750 0.250 0.500 Hf
0.618 0.125 0.250 Ge
0.875 0.868 0.750 Ge
0.375 0.382 0.750 Ge
0.132 0.625 0.250 Ge
0.250 0.750 0.500 Cd
0.500 0.500 0.000 Cd
```

* V: 20.83 Å³ per atom
* energy of formation: 0.155 eV per atom
* SG: I-42d

=====

# 21
First-principles (GGA-PBE) data for a relaxed structure of Hf3CdGe, as listed in Alexandria via LeMat-Bulk.

The structure in POSCAR format:
```
Hf3CdGe
1.0
4.963 0.000 0.000
0.000 4.963 0.000
0.000 0.000 4.963
Ge Hf Cd
1 3 1
Direct
0.000 0.000 0.000 Ge
0.000 0.500 0.000 Hf
0.000 0.000 0.500 Hf
0.500 0.000 0.000 Hf
0.500 0.500 0.500 Cd
```

* V: 24.45 Å³ per atom
* energy of formation: 0.304 eV per atom
* energy above the most stable polymorph in this dataset: 0.00 eV/f.u.
* SG: Pm-3m

=====

# 22
First-principles (GGA-PBE) data for a relaxed structure of HfCd2Ge, as listed in Alexandria via LeMat-Bulk.

The structure in POSCAR format:
```
HfCd2Ge
1.0
3.103 0.000 0.000
1.552 2.687 0.000
1.552 0.896 10.766
Ge Cd Hf
1 2 1
Direct
0.500 0.500 0.500 Ge
0.091 0.091 0.726 Cd
0.909 0.909 0.274 Cd
0.000 0.000 0.000 Hf
```

* V: 22.45 Å³ per atom
* energy of formation: 0.374 eV per atom
* SG: R-3m

=====

# 23
First-principles (GGA-PBE) data for a relaxed structure of KHfCd2Ge, as listed in Alexandria via LeMat-Bulk.

The structure in POSCAR format:
```
KHfCd2Ge
1.0
5.440 0.000 0.000
0.000 5.853 0.000
0.000 0.000 5.440
K Cd Ge Hf
1 2 1 1
Direct
0.000 0.000 0.000 K
0.500 0.000 0.000 Cd
0.000 0.000 0.500 Cd
0.500 0.500 0.500 Ge
0.000 0.500 0.000 Hf
```

* V: 34.64 Å³ per atom
* energy of formation: 1.717 eV per atom
* SG: P4/mmm

=====

# 24
First-principles (GGA-PBE) data for a relaxed structure of HfCdGeO5, as listed in Alexandria via LeMat-Bulk.

The structure in POSCAR format:
```
HfCdGeO5
1.0
-1.430 -3.377 -4.561
-3.385 -2.560 4.030
-2.867 7.087 -1.326
O Ge Cd Hf
10 2 2 2
Direct
0.332 0.283 0.130 O
0.191 0.733 0.918 O
0.733 0.191 0.418 O
0.717 0.668 0.370 O
0.668 0.717 0.870 O
0.927 0.073 0.750 O
0.283 0.332 0.630 O
0.073 0.927 0.250 O
0.267 0.809 0.582 O
0.809 0.267 0.082 O
0.341 0.659 0.750 Ge
0.659 0.341 0.250 Ge
0.316 0.684 0.250 Cd
0.684 0.316 0.750 Cd
0.000 0.000 0.500 Hf
0.000 0.000 0.000 Hf
```

* V: 14.57 Å³ per atom
* SG: C2/c
* energy relative to the elements, uncorrected: -1717 kJ/mol of formula units

=====

# 25
First-principles (GGA-PBE) data for a relaxed structure of HfCd2GePd, as listed in Alexandria via LeMat-Bulk.

The structure in POSCAR format:
```
HfCd2GePd
1.0
5.510 0.000 0.000
0.000 5.033 0.000
0.000 0.000 5.510
Pd Cd Ge Hf
1 2 1 1
Direct
0.500 0.500 0.500 Pd
0.500 0.000 0.000 Cd
0.000 0.000 0.500 Cd
0.000 0.500 0.000 Ge
0.000 0.000 0.000 Hf
```

* V: 30.56 Å³ per atom
* energy of formation: 1.012 eV per atom
* SG: P4/mmm

=====

# 26
First-principles (GGA-PBE) data for a relaxed structure of Rb2HfCdGe, as listed in Alexandria via LeMat-Bulk.

The structure in POSCAR format:
```
Rb2HfCdGe
1.0
6.793 0.000 0.000
0.000 4.947 0.000
0.000 0.000 6.793
Rb Hf Ge Cd
2 1 1 1
Direct
0.500 0.000 0.000 Rb
0.000 0.000 0.500 Rb
0.500 0.500 0.500 Hf
0.000 0.500 0.000 Ge
0.000 0.000 0.000 Cd
```

* V: 45.65 Å³ per atom
* energy of formation: 1.145 eV per atom
* SG: P4/mmm

=====

DOS at the Fermi energy (states/eV per cell)
1.75 1.67 1.62 2.95 0.00 3.23 1.57 4.04 3.61 2.16 2.82 2.01 3.76 6.04 1.55 9.35 6.78 1.93 1.88 3.55 3.06 2.35 5.45 0.00 5.57 8.33